1.
Below is a geometry-optimized Dy2InSi structure, with properties calculated at the PBE level.

abc: 3.7474 3.7474 6.8475
angles: 90.00 90.00 90.00
Closest atoms and distances in Å follow each position.
Fractional coordinates of all 4 atoms:
1 Dy 0.0000 0.0000 0.2243  4 Si 3.06, 1 Dy 3.07, 4 In 3.25
2 Dy 0.0000 0.0000 0.7757  4 Si 3.06, 1 Dy 3.07, 4 In 3.25
3 In 0.5000 0.5000 0.5000  8 Dy 3.25, 2 Si 3.42
4 Si 0.5000 0.5000 0.0000  8 Dy 3.06, 2 In 3.42

Summary:
As for the density of states at the Fermi level: 1.10 states/eV/atom. The value obtained for the total energy is -0.3521 Ry/atom. The calculation puts the formation energy from raw total energies at -449 meV per atom. As for the space group: P4/mmm, No. 123. The value obtained for the calculated density is 8.08 g/cm³. The total magnetization is 0.0 μB/cell. Its crystal system is tetragonal.


2.
Below is a geometry-optimized DyIn2Si structure, with properties calculated at the PBE level.

abc: 4.3054 4.3054 4.8750
angles: 90.00 90.00 90.00
Closest atoms and distances in Å follow each position.
Fractional coordinates of all 4 atoms:
1 Dy 0.0000 0.0000 0.0000  4 Si 3.04, 8 In 3.25
2 In 0.0000 0.5000 0.5000  4 In 3.04, 4 Dy 3.25, 4 Si 3.25
3 In 0.5000 0.0000 0.5000  4 In 3.04, 4 Dy 3.25, 4 Si 3.25
4 Si 0.5000 0.5000 0.0000  4 Dy 3.04, 8 In 3.25

Summary:
As for the density of states at the Fermi level: 0.33 states/eV/atom. The value obtained for the total energy is -0.3065 Ry/atom. The calculation puts the formation energy from raw total energies at -295 meV per atom. As for the space group: P4/mmm, No. 123. The value obtained for the calculated density is 7.72 g/cm³. The total magnetization is 0.0 μB/cell. Its crystal system is tetragonal.


3.
Below is a geometry-optimized Dy6InSi2Te3 structure, with properties calculated at the PBE level.

abc: 9.6727 9.6727 8.7435
angles: 104.85 104.85 25.25
Closest atoms and distances in Å follow each position.
Fractional coordinates of all 12 atoms:
1 Dy 0.0089 0.0089 0.2566  1 Si 2.88, 3 Te 3.04-3.16, 2 In 3.06
2 Dy 0.3253 0.3253 0.4364  3 Si 2.89-2.90, 3 Te 3.19-3.20
3 Dy 0.3312 0.3312 0.8935  2 Si 2.90, 3 Te 3.05-3.19, 1 In 3.08
4 Dy 0.6688 0.6688 0.1065  2 Si 2.90, 3 Te 3.05-3.19, 1 In 3.08
5 Dy 0.6747 0.6747 0.5636  3 Si 2.89-2.90, 3 Te 3.19-3.20
6 Dy 0.9911 0.9911 0.7434  1 Si 2.88, 3 Te 3.04-3.16, 2 In 3.06
7 In 0.5000 0.5000 0.0000  6 Dy 3.06-3.08
8 Si 0.1669 0.1669 0.3325  6 Dy 2.88-2.90
9 Si 0.8331 0.8331 0.6675  6 Dy 2.88-2.90
10 Te 0.1643 0.1643 0.8304  6 Dy 3.05-3.19
11 Te 0.5000 0.5000 0.5000  6 Dy 3.04-3.20
12 Te 0.8357 0.8357 0.1696  6 Dy 3.05-3.19

Summary:
As for the density of states at the Fermi level: 0.49 states/eV/atom. The value obtained for the total energy is -0.3823 Ry/atom. The calculation puts the formation energy from raw total energies at -983 meV per atom. As for the space group: C2/m, No. 12. The value obtained for the calculated density is 7.54 g/cm³. The total magnetization is 0.0 μB/cell. Its crystal system is monoclinic.


4.
Below is a geometry-optimized SmDy9In2 structure, with properties calculated at the PBE level.

abc: 4.8725 4.8725 14.9762
angles: 90.00 90.00 90.00
Closest atoms and distances in Å follow each position.
Fractional coordinates of all 12 atoms:
1 Sm 0.0000 0.0000 0.0000  12 Dy 3.45-3.57
2 Dy 0.0000 0.5000 0.1739  8 Dy 3.45-3.57, 2 In 3.48, 2 Sm 3.57
3 Dy 0.0000 0.5000 0.5000  4 In 3.42, 8 Dy 3.44-3.45
4 Dy 0.0000 0.5000 0.8261  8 Dy 3.45-3.57, 2 In 3.48, 2 Sm 3.57
5 Dy 0.5000 0.0000 0.1739  8 Dy 3.45-3.57, 2 In 3.48, 2 Sm 3.57
6 Dy 0.5000 0.0000 0.5000  4 In 3.42, 8 Dy 3.44-3.45
7 Dy 0.5000 0.0000 0.8261  8 Dy 3.45-3.57, 2 In 3.48, 2 Sm 3.57
8 Dy 0.5000 0.5000 0.0000  4 Sm 3.45, 8 Dy 3.57
9 Dy 0.5000 0.5000 0.3383  8 Dy 3.44-3.46, 4 In 3.45
10 Dy 0.5000 0.5000 0.6617  8 Dy 3.44-3.46, 4 In 3.45
11 In 0.0000 0.0000 0.3394  12 Dy 3.42-3.48
12 In 0.0000 0.0000 0.6606  12 Dy 3.42-3.48

Summary:
As for the density of states at the Fermi level: 1.17 states/eV/atom. The value obtained for the total energy is -0.3281 Ry/atom. As for the space group: P4/mmm, No. 123. The value obtained for the calculated density is 8.61 g/cm³. The total magnetization is 0.0 μB/cell. The calculation puts the formation energy from the elements at -0.1632 eV/atom. Its crystal system is tetragonal.


5.
Below is a geometry-optimized Sm2Dy3In3 structure, with properties calculated at the PBE level.

abc: 4.9241 4.9553 9.2334
angles: 90.00 90.00 90.00
Closest atoms and distances in Å follow each position.
Fractional coordinates of all 8 atoms:
1 Sm 0.0000 0.0000 0.2408  6 In 3.32-3.44, 6 Dy 3.43-3.49
2 Sm 0.0000 0.0000 0.7592  6 In 3.32-3.44, 6 Dy 3.43-3.49
3 Dy 0.5000 0.0000 0.5000  4 Sm 3.43, 4 In 3.49, 4 Dy 3.50
4 Dy 0.5000 0.5000 0.2329  6 In 3.27-3.48, 4 Sm 3.49, 2 Dy 3.50
5 Dy 0.5000 0.5000 0.7671  6 In 3.27-3.48, 4 Sm 3.49, 2 Dy 3.50
6 In 0.0000 0.5000 0.0000  4 Dy 3.27, 4 Sm 3.33, 4 In 3.49
7 In 0.0000 0.5000 0.5000  4 Sm 3.44, 8 Dy 3.48-3.49
8 In 0.5000 0.0000 0.0000  4 Dy 3.28, 4 Sm 3.32, 4 In 3.49

Summary:
As for the density of states at the Fermi level: 1.12 states/eV/atom. The value obtained for the total energy is -0.3149 Ry/atom. As for the space group: Pmmm, No. 47. The value obtained for the calculated density is 8.35 g/cm³. The total magnetization is 0.7 μB/cell. The calculation puts the formation energy from the elements at -0.3518 eV/atom. Its crystal system is orthorhombic.


6.
Below is a geometry-optimized Sm4Dy4In structure, with properties calculated at the PBE level.

abc: 7.9489 7.9489 7.9489
angles: 95.54 95.54 143.79
Closest atoms and distances in Å follow each position.
Fractional coordinates of all 9 atoms:
1 Sm 0.1615 0.1615 0.3231  4 Sm 3.45-3.64, 2 In 3.47, 6 Dy 3.54-3.62
2 Sm 0.1615 0.8385 0.0000  4 Sm 3.45-3.64, 2 In 3.47, 6 Dy 3.54-3.62
3 Sm 0.8385 0.1615 0.0000  4 Sm 3.45-3.64, 2 In 3.47, 6 Dy 3.54-3.62
4 Sm 0.8385 0.8385 0.6769  4 Sm 3.45-3.64, 2 In 3.47, 6 Dy 3.54-3.62
5 Dy 0.1651 0.5000 0.6651  5 Dy 3.51-3.53, 6 Sm 3.54-3.62, 1 In 3.58
6 Dy 0.5000 0.1651 0.6651  5 Dy 3.51-3.53, 6 Sm 3.54-3.62, 1 In 3.58
7 Dy 0.5000 0.8349 0.3349  5 Dy 3.51-3.53, 6 Sm 3.54-3.62, 1 In 3.58
8 Dy 0.8349 0.5000 0.3349  5 Dy 3.51-3.53, 6 Sm 3.54-3.62, 1 In 3.58
9 In 0.5000 0.5000 0.0000  8 Sm 3.47, 4 Dy 3.58

Summary:
As for the density of states at the Fermi level: 1.43 states/eV/atom. The value obtained for the total energy is -0.3321 Ry/atom. As for the space group: I4/mmm, No. 139. The value obtained for the calculated density is 8.04 g/cm³. The total magnetization is 0.0 μB/cell. The calculation puts the formation energy from the elements at -0.0720 eV/atom. Its crystal system is tetragonal.


7.
Below is a geometry-optimized Sm7Dy4In structure, with properties calculated at the PBE level.

abc: 6.5557 6.7529 9.0850
angles: 85.42 76.83 82.23
Closest atoms and distances in Å follow each position.
Fractional coordinates of all 12 atoms:
1 Sm 0.0000 0.0000 0.0000  2 In 3.38, 2 Dy 3.39, 2 Sm 3.63
2 Sm 0.1526 0.6036 0.3184  1 In 3.42, 5 Sm 3.42-3.72, 4 Dy 3.53-3.80
3 Sm 0.1984 0.0964 0.3916  5 Sm 3.24-3.63, 5 Dy 3.25-3.63
4 Sm 0.4663 0.2535 0.0494  2 Dy 3.29-3.44, 5 Sm 3.37-3.63, 1 In 3.38
5 Sm 0.5337 0.7465 0.9506  2 Dy 3.29-3.44, 5 Sm 3.37-3.63, 1 In 3.38
6 Sm 0.8016 0.9036 0.6084  5 Sm 3.24-3.63, 5 Dy 3.25-3.63
7 Sm 0.8474 0.3964 0.6816  1 In 3.42, 5 Sm 3.42-3.72, 4 Dy 3.53-3.80
8 Dy 0.3069 0.6976 0.6513  3 Dy 3.39-3.63, 5 Sm 3.44-3.63, 1 In 3.61
9 Dy 0.3645 0.1936 0.7184  6 Sm 3.25-3.56, 3 Dy 3.39-3.63
10 Dy 0.6355 0.8064 0.2816  6 Sm 3.25-3.56, 3 Dy 3.39-3.63
11 Dy 0.6931 0.3024 0.3487  3 Dy 3.39-3.63, 5 Sm 3.44-3.63, 1 In 3.61
12 In 0.0000 0.5000 0.0000  6 Sm 3.38-3.42, 4 Dy 3.61-3.64

Summary:
As for the density of states at the Fermi level: 1.30 states/eV/atom. The value obtained for the total energy is -0.3329 Ry/atom. As for the space group: P-1, No. 2. The energy above the most stable polymorph in this dataset comes out at 0.0 kJ/mol of formula units. The value obtained for the calculated density is 7.79 g/cm³. The total magnetization is 0.0 μB/cell. The calculation puts the formation energy from the elements at -0.0147 eV/atom. Its crystal system is triclinic.


8.
Below is a geometry-optimized SmDy3In structure, with properties calculated at the PBE level.

abc: 9.8892 9.8892 6.4449
angles: 100.50 100.50 83.92
Closest atoms and distances in Å follow each position.
Fractional coordinates of all 20 atoms:
1 Sm 0.0405 0.1684 0.4768  7 Dy 3.39-3.72, 4 Sm 3.58-3.69
2 Sm 0.1684 0.0405 0.9768  7 Dy 3.39-3.72, 4 Sm 3.58-3.69
3 Sm 0.8316 0.9595 0.0232  7 Dy 3.39-3.72, 4 Sm 3.58-3.69
4 Sm 0.9595 0.8316 0.5232  7 Dy 3.39-3.72, 4 Sm 3.58-3.69
5 Dy 0.1006 0.7060 0.0043  2 In 3.24-3.35, 3 Dy 3.31-3.51, 3 Sm 3.46-3.54
6 Dy 0.1253 0.5041 0.3688  2 In 3.26-3.27, 6 Dy 3.26-3.63, 1 Sm 3.53
7 Dy 0.2363 0.3742 0.8698  2 In 3.28-3.30, 2 Sm 3.39-3.64, 4 Dy 3.42-3.63
8 Dy 0.2940 0.8994 0.4957  2 In 3.24-3.35, 3 Dy 3.31-3.51, 3 Sm 3.46-3.54
9 Dy 0.3742 0.2363 0.3698  2 In 3.28-3.30, 2 Sm 3.39-3.64, 4 Dy 3.42-3.63
10 Dy 0.4959 0.8747 0.1312  2 In 3.26-3.27, 6 Dy 3.26-3.63, 1 Sm 3.53
11 Dy 0.5041 0.1253 0.8688  2 In 3.26-3.27, 6 Dy 3.26-3.63, 1 Sm 3.53
12 Dy 0.6258 0.7637 0.6302  2 In 3.28-3.30, 2 Sm 3.39-3.64, 4 Dy 3.42-3.63
13 Dy 0.7060 0.1006 0.5043  2 In 3.24-3.35, 3 Dy 3.31-3.51, 3 Sm 3.46-3.54
14 Dy 0.7637 0.6258 0.1302  2 In 3.28-3.30, 2 Sm 3.39-3.64, 4 Dy 3.42-3.63
15 Dy 0.8747 0.4959 0.6312  2 In 3.26-3.27, 6 Dy 3.26-3.63, 1 Sm 3.53
16 Dy 0.8994 0.2940 0.9957  2 In 3.24-3.35, 3 Dy 3.31-3.51, 3 Sm 3.46-3.54
17 In 0.3606 0.6394 0.7500  3 In 3.05-3.28, 6 Dy 3.24-3.28
18 In 0.4085 0.5915 0.2500  3 In 3.05-3.28, 6 Dy 3.27-3.35
19 In 0.5915 0.4085 0.7500  3 In 3.05-3.28, 6 Dy 3.27-3.35
20 In 0.6394 0.3606 0.2500  3 In 3.05-3.28, 6 Dy 3.24-3.28

Summary:
As for the density of states at the Fermi level: 1.34 states/eV/atom. The value obtained for the total energy is -0.3195 Ry/atom. As for the space group: C2/c, No. 15. The energy above the most stable polymorph in this dataset comes out at 41.8 kJ/mol of formula units. The value obtained for the calculated density is 8.23 g/cm³. The total magnetization is 0.0 μB/cell. The calculation puts the formation energy from the elements at -0.0946 eV/atom. Its crystal system is monoclinic.


9.
Below is a geometry-optimized Sm2Dy3In3 structure, with properties calculated at the PBE level.

abc: 11.7246 11.7246 11.7246
angles: 161.41 153.64 32.45
Closest atoms and distances in Å follow each position.
Fractional coordinates of all 8 atoms:
1 Sm 0.2338 0.2338 0.0000  2 In 3.25, 4 Sm 3.36
2 Sm 0.7662 0.7662 0.0000  2 In 3.25, 4 Sm 3.36
3 Dy 0.0000 0.0000 0.0000  8 In 3.24-3.28
4 Dy 0.3776 0.8776 0.5000  6 In 3.28-3.34, 2 Sm 3.67
5 Dy 0.6224 0.1224 0.5000  6 In 3.28-3.34, 2 Sm 3.67
6 In 0.1168 0.6168 0.5000  6 Dy 3.24-3.28, 2 Sm 3.25
7 In 0.5000 0.5000 0.0000  8 Dy 3.28-3.34
8 In 0.8832 0.3832 0.5000  6 Dy 3.24-3.28, 2 Sm 3.25

Summary:
As for the density of states at the Fermi level: 0.76 states/eV/atom. The value obtained for the total energy is -0.3149 Ry/atom. As for the space group: Immm, No. 71. The value obtained for the calculated density is 8.25 g/cm³. The total magnetization is 0.0 μB/cell. The calculation puts the formation energy from the elements at -0.3525 eV/atom. Its crystal system is orthorhombic.


10.
Below is a geometry-optimized SmDy5In3 structure, with properties calculated at the PBE level.

abc: 9.3790 9.3790 6.7364
angles: 90.00 90.00 120.00
Closest atoms and distances in Å follow each position.
Fractional coordinates of all 18 atoms:
1 Sm 0.0000 0.0000 0.0000  2 Sm 3.37, 6 Dy 3.54, 6 In 3.59
2 Sm 0.0000 0.0000 0.5000  2 Sm 3.37, 6 Dy 3.54, 6 In 3.59
3 Dy 0.0000 0.3315 0.2500  5 In 3.10-3.37
4 Dy 0.0000 0.6685 0.7500  5 In 3.10-3.37
5 Dy 0.3315 0.0000 0.2500  5 In 3.10-3.37
6 Dy 0.3315 0.3315 0.7500  5 In 3.10-3.37
7 Dy 0.3333 0.6667 0.0000  8 Dy 3.37-3.56, 6 In 3.53
8 Dy 0.3333 0.6667 0.5000  8 Dy 3.37-3.56, 6 In 3.53
9 Dy 0.6667 0.3333 0.0000  8 Dy 3.37-3.56, 6 In 3.53
10 Dy 0.6667 0.3333 0.5000  8 Dy 3.37-3.56, 6 In 3.53
11 Dy 0.6685 0.0000 0.7500  5 In 3.10-3.37
12 Dy 0.6685 0.6685 0.2500  5 In 3.10-3.37
13 In 0.0000 0.3376 0.7500  5 Dy 3.10-3.37
14 In 0.0000 0.6624 0.2500  5 Dy 3.10-3.37
15 In 0.3376 0.0000 0.7500  5 Dy 3.10-3.37
16 In 0.3376 0.3376 0.2500  5 Dy 3.10-3.37
17 In 0.6624 0.0000 0.2500  5 Dy 3.10-3.37
18 In 0.6624 0.6624 0.7500  5 Dy 3.10-3.37

Summary:
As for the density of states at the Fermi level: 1.22 states/eV/atom. The value obtained for the total energy is -0.3194 Ry/atom. As for the space group: P6_3/mcm, No. 193. The value obtained for the calculated density is 8.46 g/cm³. The total magnetization is 0.8 μB/cell. The calculation puts the formation energy from the elements at -0.3517 eV/atom. Its crystal system is hexagonal.